*w*
DFT (GGA-PBE) results for crystalline ZrP2SeO at its relaxed geometry.

Unit cell a=4.7383 b=4.7383 c=3.7952 alpha=90.00 beta=90.00 gamma=90.00
Last column: nearest neighbours and their distance in Å.
Space group P4/mmm (No. 123)
Asymmetric unit:
Zr 0.0000 0.0000 0.0000 (multiplicity 1)  8 P 3.04, 4 O 3.35
P 0.0000 0.5000 0.5000 (multiplicity 2)  2 Se 2.37
Se 0.5000 0.5000 0.5000 (multiplicity 1)  2 O 1.90
O 0.5000 0.5000 0.0000 (multiplicity 1)  2 Se 1.90

Calculated values
The crystal system is tetragonal. The value obtained for the theoretical density is 4.84 g/cm³.

---

*x*
DFT (GGA-PBE) results for crystalline ZrP2SeO at its relaxed geometry.

Unit cell a=5.2278 b=5.2278 c=3.9591 alpha=90.00 beta=90.00 gamma=90.00
Last column: nearest neighbours and their distance in Å.
Space group P4/mmm (No. 123)
Asymmetric unit:
Zr 0.0000 0.0000 0.0000 (multiplicity 1)  2 O 1.98
P 0.0000 0.5000 0.0000 (multiplicity 2)  2 Zr 2.61
Se 0.5000 0.5000 0.5000 (multiplicity 1)  8 P 3.28
O 0.0000 0.0000 0.5000 (multiplicity 1)  2 Zr 1.98

Calculated values
The crystal system is tetragonal. The value obtained for the theoretical density is 3.81 g/cm³.

---

Relative energies in eV/atom: *w* 0.287; *x* 0.000

---

*w*
DFT (GGA-PBE) results for crystalline Si2PO at its relaxed geometry.

Unit cell a=5.7670 b=5.7670 c=5.7670 alpha=90.00 beta=90.00 gamma=90.00
Last column: nearest neighbours and their distance in Å.
Space group Fm-3m (No. 225)
Asymmetric unit:
Si 0.2500 0.2500 0.2500 (multiplicity 8)  4 O 2.50, 4 P 2.50
P 0.0000 0.0000 0.0000 (multiplicity 4)  8 Si 2.50
O 0.0000 0.0000 0.5000 (multiplicity 4)  8 Si 2.50

Calculated values
The crystal system is cubic. The value obtained for the theoretical density is 3.57 g/cm³.

---

*x*
DFT (GGA-PBE) results for crystalline Si2PO at its relaxed geometry.

Unit cell a=5.4001 b=5.4001 c=8.1161 alpha=90.00 beta=90.00 gamma=90.00
Last column: nearest neighbours and their distance in Å.
Space group I-42d (No. 122)
Asymmetric unit:
Si 0.2102 0.2500 0.1250 (multiplicity 8)  2 O 2.03
P 0.0000 0.0000 0.5000 (multiplicity 4)  4 Si 2.30
O 0.0000 0.0000 0.0000 (multiplicity 4)  4 Si 2.03

Calculated values
The crystal system is tetragonal. The value obtained for the theoretical density is 2.89 g/cm³.

---

Relative energies in eV/atom: *w* 0.279; *x* 0.000

---

*w*
DFT (GGA-PBE) results for crystalline SiPO4 at its relaxed geometry.

Unit cell a=5.1956 b=5.1956 c=7.6288 alpha=90.00 beta=90.00 gamma=90.00
Last column: nearest neighbours and their distance in Å.
Space group I-4 (No. 82)
Asymmetric unit:
Si 0.0000 0.0000 0.0000 (multiplicity 2)  4 O 1.70
P 0.0000 0.5000 0.2500 (multiplicity 2)  4 O 1.62
O 0.0790 0.2564 0.1278 (multiplicity 8)  1 P 1.62, 1 Si 1.70

Calculated values
The crystal system is tetragonal. The value obtained for the theoretical density is 1.98 g/cm³.

---

*x*
DFT (GGA-PBE) results for crystalline SiPO4 at its relaxed geometry.

Unit cell a=4.9726 b=4.9726 c=11.0430 alpha=90.00 beta=90.00 gamma=120.00
Last column: nearest neighbours and their distance in Å.
Space group P3_121 (No. 152)
Asymmetric unit:
Si 0.0000 0.4128 0.1667 (multiplicity 3)  4 O 1.63-1.66
P 0.0000 0.4553 0.6667 (multiplicity 3)  4 O 1.61-1.70
O 0.0944 0.7155 0.7707 (multiplicity 6)  1 P 1.61, 1 Si 1.66
O 0.1739 0.6517 0.2785 (multiplicity 6)  1 Si 1.63, 1 P 1.70

Calculated values
The crystal system is trigonal. The value obtained for the theoretical density is 2.59 g/cm³.

---

Relative energies in eV/atom: *w* 0.044; *x* 0.000

---

*w*
DFT (GGA-PBE) results for crystalline SiP2O at its relaxed geometry.

Unit cell a=5.7669 b=5.7669 c=5.7669 alpha=90.00 beta=90.00 gamma=90.00
Last column: nearest neighbours and their distance in Å.
Space group Fm-3m (No. 225)
Asymmetric unit:
Si 0.0000 0.0000 0.0000 (multiplicity 4)  8 P 2.50
P 0.2500 0.2500 0.2500 (multiplicity 8)  4 O 2.50, 4 Si 2.50
O 0.0000 0.0000 0.5000 (multiplicity 4)  8 P 2.50

Calculated values
The crystal system is cubic. The value obtained for the theoretical density is 3.67 g/cm³.

---

*x*
DFT (GGA-PBE) results for crystalline SiP2O at its relaxed geometry.

Unit cell a=4.5028 b=4.5028 c=12.1869 alpha=90.00 beta=90.00 gamma=90.00
Last column: nearest neighbours and their distance in Å.
Space group I-42d (No. 122)
Asymmetric unit:
Si 0.0000 0.0000 0.0000 (multiplicity 4)  4 P 2.41
P 0.1704 0.2500 0.6250 (multiplicity 8)  2 O 2.04
O 0.0000 0.0000 0.5000 (multiplicity 4)  4 P 2.04

Calculated values
The crystal system is tetragonal. The value obtained for the theoretical density is 2.85 g/cm³.

---

Relative energies in eV/atom: *w* 0.264; *x* 0.000

---

*w*
DFT (GGA-PBE) results for crystalline TaSiP2O at its relaxed geometry.

Unit cell a=4.9340 b=4.9340 c=3.8355 alpha=90.00 beta=90.00 gamma=90.00
Last column: nearest neighbours and their distance in Å.
Space group P4/mmm (No. 123)
Asymmetric unit:
Ta 0.0000 0.0000 0.0000 (multiplicity 1)  2 O 1.92
Si 0.5000 0.5000 0.5000 (multiplicity 1)  8 P 3.12, 4 O 3.49
P 0.0000 0.5000 0.0000 (multiplicity 2)  2 Ta 2.47
O 0.0000 0.0000 0.5000 (multiplicity 1)  2 Ta 1.92

Calculated values
The crystal system is tetragonal. The value obtained for the theoretical density is 5.10 g/cm³.

---

*x*
DFT (GGA-PBE) results for crystalline TaSiP2O at its relaxed geometry.

Unit cell a=4.7113 b=4.7113 c=3.2599 alpha=90.00 beta=90.00 gamma=90.00
Last column: nearest neighbours and their distance in Å.
Space group P4/mmm (No. 123)
Asymmetric unit:
Ta 0.0000 0.0000 0.0000 (multiplicity 1)  8 P 2.86
Si 0.5000 0.5000 0.5000 (multiplicity 1)  2 O 1.63
P 0.0000 0.5000 0.5000 (multiplicity 2)  2 Si 2.36
O 0.5000 0.5000 0.0000 (multiplicity 1)  2 Si 1.63

Calculated values
The crystal system is tetragonal. The value obtained for the theoretical density is 6.59 g/cm³.

---

Relative energies in eV/atom: *w* 0.000; *x* 0.091

---

*w*
DFT (GGA-PBE) results for crystalline SiTcP2O at its relaxed geometry.

Unit cell a=4.7000 b=4.7000 c=3.2161 alpha=90.00 beta=90.00 gamma=90.00
Last column: nearest neighbours and their distance in Å.
Space group P4/mmm (No. 123)
Asymmetric unit:
Si 0.0000 0.0000 0.0000 (multiplicity 1)  2 O 1.61
Tc 0.5000 0.5000 0.5000 (multiplicity 1)  8 P 2.85
P 0.0000 0.5000 0.0000 (multiplicity 2)  2 Si 2.35
O 0.0000 0.0000 0.5000 (multiplicity 1)  2 Si 1.61

Calculated values
The crystal system is tetragonal. The value obtained for the theoretical density is 4.77 g/cm³.

---

*x*
DFT (GGA-PBE) results for crystalline SiTcP2O at its relaxed geometry.

Unit cell a=4.7812 b=4.7812 c=3.6660 alpha=90.00 beta=90.00 gamma=90.00
Last column: nearest neighbours and their distance in Å.
Space group P4/mmm (No. 123)
Asymmetric unit:
Si 0.0000 0.0000 0.0000 (multiplicity 1)  8 P 3.01
Tc 0.5000 0.5000 0.5000 (multiplicity 1)  2 O 1.83
P 0.0000 0.5000 0.5000 (multiplicity 2)  2 Tc 2.39
O 0.5000 0.5000 0.0000 (multiplicity 1)  2 Tc 1.83

Calculated values
The crystal system is tetragonal. The value obtained for the theoretical density is 4.04 g/cm³.

---

Relative energies in eV/atom: *w* 0.000; *x* 0.086